(1)
6
Lattice="0.0000 3.7893 3.7893 3.7893 0.0000 3.7893 3.7893 3.7893 0.0000" Properties=species:S:1:pos:R:3 comment="MgScAl4 (PBEsol, relaxed)" e_tot_ev_per_atom=-4.3318 formation_energy_ev_per_atom=-0.22 pbc="T T T"
Mg 0.0000 0.0000 0.0000
Sc 1.8946 1.8946 1.8946
Al 4.7353 2.8433 2.8433
Al 2.8433 4.7353 2.8433
Al 2.8433 2.8433 4.7353
Al 4.7353 4.7353 4.7353

=====

(2)
5
Lattice="4.5215 0.0000 0.0000 0.0000 4.5215 0.0000 0.0000 0.0000 4.5215" Properties=species:S:1:pos:R:3 comment="MnPPd3 (PBEsol, relaxed)" e_tot_ev_per_atom=-5.5994 formation_energy_ev_per_atom=1.09 relative_energy_ev_per_atom=1.060 pbc="T T T"
Mn 0.0000 0.0000 0.0000
P 2.2607 2.2607 2.2607
Pd 0.0000 0.0000 2.2607
Pd 0.0000 2.2607 0.0000
Pd 2.2607 0.0000 0.0000

=====

(3)
5
Lattice="-3.0159 3.0159 3.0159 3.0159 -3.0159 3.0159 3.0159 3.0159 -3.0159" Properties=species:S:1:pos:R:3 comment="SrPt4 (PBEsol, relaxed)" e_tot_ev_per_atom=-4.6738 formation_energy_ev_per_atom=1.27 pbc="T T T"
Sr 0.0000 0.0000 0.0000
Pt 1.5080 1.5080 -1.5080
Pt 1.5080 -1.5080 1.5080
Pt -1.5080 1.5080 1.5080
Pt 1.5080 1.5080 1.5080

=====

(4)
5
Lattice="5.3414 0.0000 0.0000 0.0000 5.3414 0.0000 0.0000 0.0000 5.3414" Properties=species:S:1:pos:R:3 comment="YSiBi3 (PBEsol, relaxed)" e_tot_ev_per_atom=-4.7918 e_form_raw_ev_per_atom=0.293 pbc="T T T"
Y 0.0000 0.0000 0.0000
Si 2.6707 2.6707 2.6707
Bi 0.0000 2.6707 2.6707
Bi 2.6707 0.0000 2.6707
Bi 2.6707 2.6707 0.0000

=====

(5)
4
Lattice="0.0000 2.5268 2.5268 2.5268 0.0000 2.5268 2.5268 2.5268 0.0000" Properties=species:S:1:pos:R:3 comment="Fe2CO (PBEsol, relaxed)" e_tot_ev_per_atom=-7.8990 e_form_raw_ev_per_atom=0.306 pbc="T T T"
Fe 1.2634 1.2634 1.2634
Fe 3.7902 3.7902 3.7902
C 0.0000 0.0000 0.0000
O 2.5268 2.5268 2.5268

=====

(6)
5
Lattice="4.1260 0.0000 0.0000 0.0000 4.1260 0.0000 0.0000 0.0000 4.1260" Properties=species:S:1:pos:R:3 comment="ZrCF3 (PBEsol, relaxed)" e_tot_ev_per_atom=-6.2013 e_form_raw_ev_per_atom=-1.298 pbc="T T T"
Zr 0.0000 0.0000 0.0000
C 2.0630 2.0630 2.0630
F 0.0000 0.0000 2.0630
F 0.0000 2.0630 0.0000
F 2.0630 0.0000 0.0000

=====

(7)
10
Lattice="-2.8146 2.8146 3.4668 2.8146 -2.8146 3.4668 2.8146 2.8146 -3.4668" Properties=species:S:1:pos:R:3 comment="KCuH3 (PBEsol, relaxed)" e_tot_ev_per_atom=-3.1010 relative_energy_ev_per_atom=0.000 pbc="T T T"
K 0.0000 0.0000 1.7334
K 0.0000 0.0000 5.2002
Cu 2.8146 0.0000 0.0000
Cu 0.0000 2.8146 0.0000
H 3.9291 1.1144 0.0000
H 2.8146 0.0000 1.7334
H 1.1144 1.7002 0.0000
H 1.7002 1.1144 3.4668
H 0.0000 2.8146 1.7334
H -1.1144 1.7002 3.4668

=====

(8)
5
Lattice="-1.9273 1.9273 6.3521 1.9273 -1.9273 6.3521 1.9273 1.9273 -6.3521" Properties=species:S:1:pos:R:3 comment="Na2Cu2Se (PBEsol, relaxed)" e_tot_ev_per_atom=-2.5938 e_form_raw_ev_per_atom=0.470 pbc="T T T"
Na 1.9273 0.0000 3.1760
Na 0.0000 1.9273 3.1760
Cu 0.0000 0.0000 1.1148
Cu 0.0000 0.0000 11.5894
Se 0.0000 0.0000 6.3521

=====

(9)
4
Lattice="4.7926 0.0000 0.0000 0.0000 1.9544 6.7071 0.0000 -1.9544 6.7071" Properties=species:S:1:pos:R:3 comment="BaTl2Hg (PBEsol, relaxed)" e_tot_ev_per_atom=-2.2850 formation_energy_ev_per_atom=-0.29 relative_energy_ev_per_atom=0.080 pbc="T T T"
Ba 0.0000 0.0000 0.0000
Tl 0.0000 0.0000 3.4666
Tl 2.3963 0.0000 9.0420
Hg 2.3963 0.0000 5.2274

=====

(10)
6
Lattice="2.2461 -8.3033 0.0000 2.2461 8.3033 0.0000 0.0000 0.0000 5.5518" Properties=species:S:1:pos:R:3 comment="Ca5Tl (PBEsol, relaxed)" e_tot_ev_per_atom=-2.3555 formation_energy_ev_per_atom=-0.14 relative_energy_ev_per_atom=0.019 pbc="T T T"
Ca 0.0000 0.0000 0.0000
Ca 2.2461 5.8242 2.7759
Ca 2.2461 2.7598 0.0000
Ca 2.2461 -2.7598 0.0000
Ca 2.2461 -5.8242 2.7759
Tl 2.2461 0.0000 2.7759

=====

(11)
5
Lattice="-2.2053 2.2053 6.1677 2.2053 -2.2053 6.1677 2.2053 2.2053 -6.1677" Properties=species:S:1:pos:R:3 comment="Ba2ScN2 (PBEsol, relaxed)" e_tot_ev_per_atom=-4.7737 e_form_raw_ev_per_atom=0.818 pbc="T T T"
Ba 2.2053 0.0000 3.0839
Ba 0.0000 2.2053 3.0839
Sc 0.0000 0.0000 0.0000
N 0.0000 0.0000 4.5830
N 0.0000 0.0000 7.7524

=====

(12)
4
Lattice="3.1387 -4.8986 0.0000 3.1387 4.8986 0.0000 0.0000 0.0000 3.0328" Properties=species:S:1:pos:R:3 comment="Ca2PbW (PBEsol, relaxed)" e_tot_ev_per_atom=-4.9322 formation_energy_ev_per_atom=0.59 pbc="T T T"
Ca 1.5694 2.4493 0.0000
Ca 1.5694 -2.4493 0.0000
Pb 0.0000 0.0000 1.5164
W 3.1387 0.0000 1.5164